[1]
Below is a relaxed Ga2GeAsW crystal, with properties calculated at the PBE level.

POSCAR file:
```
Ga2GeAsW
1.0
4.7559 0.0000 0.0000
0.0000 4.7559 0.0000
0.0000 0.0000 5.0478
Ga Ge As W
2 1 1 1
Cartesian
0.0000 2.3779 0.0000
2.3779 0.0000 0.0000
0.0000 0.0000 0.0000
0.0000 0.0000 2.5239
2.3779 2.3779 2.5239
```

Output
The value obtained for the electronic total energy is -21.446 eV/cell. The crystal system is tetragonal. As for the space group: P4/mmm, No. 123. For the density of states at the Fermi level, the calculation gives 3.510 states/eV per cell.


[2]
Below is a relaxed Na2SrIn crystal, with properties calculated at the PBE level.

POSCAR file:
```
Na2SrIn
1.0
0.0000 4.0680 4.0680
4.0680 0.0000 4.0680
4.0680 4.0680 0.0000
Na Sr In
2 1 1
Cartesian
0.0000 0.0000 0.0000
2.0340 2.0340 2.0340
4.0680 4.0680 4.0680
6.1021 6.1021 6.1021
```

Output
The value obtained for the electronic total energy is -7.472 eV/cell. The crystal system is cubic. As for the space group: F-43m, No. 216. For the density of states at the Fermi level, the calculation gives 4.264 states/eV per cell.


[3]
Below is a relaxed SrZrW crystal, with properties calculated at the PBE level.

POSCAR file:
```
SrZrW
1.0
5.2366 0.0000 0.0000
-2.6183 4.5350 0.0000
0.0000 0.0000 2.8863
Sr Zr W
1 1 1
Cartesian
0.0000 0.0000 0.0000
0.0000 3.0233 1.8581
2.6183 1.5117 1.0459
```

Output
The value obtained for the electronic total energy is -20.238 eV/cell. The crystal system is trigonal. As for the space group: P3m1, No. 156. For the density of states at the Fermi level, the calculation gives 2.551 states/eV per cell.


[4]
Below is a relaxed Pr9Nd3Y2 crystal, with properties calculated at the PBE level.

POSCAR file:
```
Pr9Nd3Y2
1.0
9.1953 0.0000 0.0000
-4.5977 7.9634 0.0000
0.0000 0.0000 14.2040
Pr Nd Y
18 6 4
Cartesian
-1.4738 3.8256 3.5510
-2.1235 5.7768 0.6058
-2.1235 5.7768 6.4962
0.6566 3.2360 0.6058
0.6566 3.2360 6.4962
-0.5477 7.3269 3.5510
3.1308 1.0494 7.7078
3.1308 1.0494 13.5982
2.5762 3.1891 10.6530
2.0215 4.7742 3.5510
1.4669 6.9140 0.6058
1.4669 6.9140 6.4962
5.1453 0.6365 10.6530
3.9411 4.7273 7.7078
3.9411 4.7273 13.5982
6.7211 2.1866 7.7078
6.7211 2.1866 13.5982
6.0714 4.1378 10.6530
-0.3981 1.9897 10.6530
-2.6755 7.3133 10.6530
1.5241 1.3396 3.5510
3.0736 6.6238 10.6530
7.2732 0.6501 3.5510
4.9957 5.9737 3.5510
0.0000 5.3089 9.1160
0.0000 5.3089 12.1900
4.5977 2.6545 2.0140
4.5977 2.6545 5.0880
```

Output
The value obtained for the electronic total energy is -134.471 eV/cell. The crystal system is hexagonal. As for the space group: P6_3/m, No. 176. For the density of states at the Fermi level, the calculation gives 38.912 states/eV per cell.